# PaNbCo5Ge2 PBE-GGA optimized geometry
data_PaNbCo5Ge2
_cell_length_a 3.7969
_cell_length_b 3.7969
_cell_length_c 8.7430
_cell_angle_alpha 90.00
_cell_angle_beta 90.00
_cell_angle_gamma 90.00
_space_group_name_H-M_alt 'P 4/m m m'
_space_group_IT_number 123
_space_group_name_Hall '-P 4 2'
loop_
_atom_site_label
_atom_site_fract_x
_atom_site_fract_y
_atom_site_fract_z
Pa1 0.0000 0.0000 0.0000
Nb1 0.0000 0.0000 0.5000
Co1 0.0000 0.5000 0.2147
Co2 0.5000 0.5000 0.0000
Ge1 0.5000 0.5000 0.3626
# M_tot: 1.93 μB per formula unit
# E: -7.324 eV/atom

# Nb2CoGePd PBE-GGA optimized geometry
data_Nb2CoGePd
_cell_length_a 4.7718
_cell_length_b 4.7718
_cell_length_c 4.4658
_cell_angle_alpha 90.00
_cell_angle_beta 90.00
_cell_angle_gamma 90.00
_space_group_name_H-M_alt 'P 4/m m m'
_space_group_IT_number 123
_space_group_name_Hall '-P 4 2'
loop_
_atom_site_label
_atom_site_fract_x
_atom_site_fract_y
_atom_site_fract_z
Nb1 0.0000 0.5000 0.0000
Co1 0.0000 0.0000 0.5000
Ge1 0.5000 0.5000 0.0000
Pd1 0.5000 0.5000 0.5000
# M_tot: 1.53 μB per formula unit
# E: -6.399 eV/atom

# NbCoGeRh PBE-GGA optimized geometry
data_NbCoGeRh
_cell_length_a 6.1471
_cell_length_b 6.1471
_cell_length_c 6.1471
_cell_angle_alpha 90.00
_cell_angle_beta 90.00
_cell_angle_gamma 90.00
_space_group_name_H-M_alt 'F -4 3 m'
_space_group_IT_number 216
_space_group_name_Hall 'F -4 2 3'
loop_
_atom_site_label
_atom_site_fract_x
_atom_site_fract_y
_atom_site_fract_z
Nb1 0.0000 0.0000 0.0000
Co1 0.2500 0.2500 0.2500
Ge1 0.0000 0.0000 0.5000
Rh1 0.2500 0.2500 0.7500
# M_tot: 1.48 μB per formula unit
# E: -7.518 eV/atom

# NbCoGeRu PBE-GGA optimized geometry
data_NbCoGeRu
_cell_length_a 3.9638
_cell_length_b 3.9638
_cell_length_c 7.2162
_cell_angle_alpha 90.00
_cell_angle_beta 90.00
_cell_angle_gamma 90.00
_space_group_name_H-M_alt 'I -4 m 2'
_space_group_IT_number 119
_space_group_name_Hall 'I -4 -2'
loop_
_atom_site_label
_atom_site_fract_x
_atom_site_fract_y
_atom_site_fract_z
Nb1 0.0000 0.0000 0.0000
Co1 0.0000 0.5000 0.2500
Ge1 0.0000 0.0000 0.5000
Ru1 0.0000 0.5000 0.7500
# M_tot: 0.00 μB per formula unit
# E: -8.043 eV/atom

# NbCo2SiGe PBE-GGA optimized geometry
data_NbCo2SiGe
_cell_length_a 4.1352
_cell_length_b 4.1352
_cell_length_c 4.7896
_cell_angle_alpha 90.00
_cell_angle_beta 90.00
_cell_angle_gamma 90.00
_space_group_name_H-M_alt 'P 4/m m m'
_space_group_IT_number 123
_space_group_name_Hall '-P 4 2'
loop_
_atom_site_label
_atom_site_fract_x
_atom_site_fract_y
_atom_site_fract_z
Nb1 0.0000 0.0000 0.0000
Co1 0.0000 0.5000 0.5000
Si1 0.0000 0.0000 0.5000
Ge1 0.5000 0.5000 0.0000
# energy relative to the elements, uncorrected: 0.4543 eV per atom
# M_tot: 2.21 μB per formula unit

# TaNbCoGe2 PBE-GGA optimized geometry
data_TaNbCoGe2
_cell_length_a 4.9201
_cell_length_b 4.9201
_cell_length_c 4.9262
_cell_angle_alpha 90.00
_cell_angle_beta 90.00
_cell_angle_gamma 90.00
_space_group_name_H-M_alt 'P 4/m m m'
_space_group_IT_number 123
_space_group_name_Hall '-P 4 2'
loop_
_atom_site_label
_atom_site_fract_x
_atom_site_fract_y
_atom_site_fract_z
Ta1 0.0000 0.0000 0.0000
Nb1 0.0000 0.0000 0.5000
Co1 0.5000 0.5000 0.0000
Ge1 0.0000 0.5000 0.5000
# M_tot: 2.26 μB per formula unit
# E: -6.228 eV/atom

# NbCoTcGe PBE-GGA optimized geometry
data_NbCoTcGe
_cell_length_a 6.1313
_cell_length_b 6.1313
_cell_length_c 6.1313
_cell_angle_alpha 90.00
_cell_angle_beta 90.00
_cell_angle_gamma 90.00
_space_group_name_H-M_alt 'F -4 3 m'
_space_group_IT_number 216
_space_group_name_Hall 'F -4 2 3'
loop_
_atom_site_label
_atom_site_fract_x
_atom_site_fract_y
_atom_site_fract_z
Nb1 0.0000 0.0000 0.0000
Co1 0.2500 0.2500 0.7500
Tc1 0.2500 0.2500 0.2500
Ge1 0.0000 0.0000 0.5000
# M_tot: 0.99 μB per formula unit
# E: -8.226 eV/atom

# Nb2CoGeTe PBE-GGA optimized geometry
data_Nb2CoGeTe
_cell_length_a 5.0909
_cell_length_b 5.0909
_cell_length_c 4.4452
_cell_angle_alpha 90.00
_cell_angle_beta 90.00
_cell_angle_gamma 90.00
_space_group_name_H-M_alt 'P 4/m m m'
_space_group_IT_number 123
_space_group_name_Hall '-P 4 2'
loop_
_atom_site_label
_atom_site_fract_x
_atom_site_fract_y
_atom_site_fract_z
Nb1 0.0000 0.5000 0.0000
Co1 0.0000 0.0000 0.5000
Ge1 0.5000 0.5000 0.5000
Te1 0.0000 0.0000 0.0000
# energy relative to the elements, uncorrected: 1.2468 eV per atom
# M_tot: 0.58 μB per formula unit

# Th2NbCo4Ge3 PBE-GGA optimized geometry
data_Th2NbCo4Ge3
_cell_length_a 4.1428
_cell_length_b 4.1428
_cell_length_c 9.8288
_cell_angle_alpha 90.00
_cell_angle_beta 90.00
_cell_angle_gamma 90.00
_space_group_name_H-M_alt 'P -4 m 2'
_space_group_IT_number 115
loop_
_space_group_symop_operation_xyz
'x,y,z'
'y,-x,-z'
'-x,-y,z'
'-y,x,-z'
'-x,y,z'
'-y,-x,-z'
'x,-y,z'
'y,x,-z'
loop_
_atom_site_label
_atom_site_fract_x
_atom_site_fract_y
_atom_site_fract_z
Th1 0.0000 0.5000 0.2418
Nb1 0.0000 0.0000 0.5000
Co1 0.0000 0.0000 0.0000
Co2 0.0000 0.5000 0.6367
Co3 0.5000 0.5000 0.0000
Ge1 0.0000 0.5000 0.8767
Ge2 0.5000 0.5000 0.5000
# M_tot: 0.59 μB per formula unit
# E: -7.284 eV/atom

# Nb2TlCoGe PBE-GGA optimized geometry
data_Nb2TlCoGe
_cell_length_a 4.6400
_cell_length_b 4.6400
_cell_length_c 4.7927
_cell_angle_alpha 90.00
_cell_angle_beta 90.00
_cell_angle_gamma 90.00
_space_group_name_H-M_alt 'P 4/m m m'
_space_group_IT_number 123
_space_group_name_Hall '-P 4 2'
loop_
_atom_site_label
_atom_site_fract_x
_atom_site_fract_y
_atom_site_fract_z
Nb1 0.0000 0.5000 0.0000
Tl1 0.0000 0.0000 0.5000
Co1 0.0000 0.0000 0.0000
Ge1 0.5000 0.5000 0.5000
# M_tot: 0.00 μB per formula unit
# E: -6.117 eV/atom

# Nb2CoGeW PBE-GGA optimized geometry
data_Nb2CoGeW
_cell_length_a 4.8891
_cell_length_b 4.8891
_cell_length_c 4.4146
_cell_angle_alpha 90.00
_cell_angle_beta 90.00
_cell_angle_gamma 90.00
_space_group_name_H-M_alt 'P 4/m m m'
_space_group_IT_number 123
_space_group_name_Hall '-P 4 2'
loop_
_atom_site_label
_atom_site_fract_x
_atom_site_fract_y
_atom_site_fract_z
Nb1 0.0000 0.5000 0.0000
Co1 0.0000 0.0000 0.5000
Ge1 0.5000 0.5000 0.5000
W1 0.0000 0.0000 0.0000
# M_tot: 1.05 μB per formula unit
# E: -7.565 eV/atom

# NbZn2CoGe PBE-GGA optimized geometry
data_NbZn2CoGe
_cell_length_a 4.4858
_cell_length_b 4.4858
_cell_length_c 4.9189
_cell_angle_alpha 90.00
_cell_angle_beta 90.00
_cell_angle_gamma 90.00
_space_group_name_H-M_alt 'P 4/m m m'
_space_group_IT_number 123
_space_group_name_Hall '-P 4 2'
loop_
_atom_site_label
_atom_site_fract_x
_atom_site_fract_y
_atom_site_fract_z
Nb1 0.0000 0.0000 0.0000
Zn1 0.0000 0.5000 0.5000
Co1 0.5000 0.5000 0.0000
Ge1 0.0000 0.0000 0.5000
# M_tot: 1.69 μB per formula unit
# E: -3.818 eV/atom